DFT (PBE) results for a geometry-optimized ZnTcPt2 structure.

POSCAR file:
```
ZnTcPt2
1.0
9.084 0.002 0.001
8.656 2.753 0.001
8.656 1.344 2.402
Pt Tc Zn
2 1 1
direct
0.003 0.003 0.003
0.247 0.247 0.247
0.499 0.499 0.499
0.751 0.751 0.751
```

Values from the calculation:
D(E_F): 3.618 states/eV per cell
Energy of formation from the pure elements: -0.55 eV per formula unit
Total DFT energy (no corrections): -24.3 eV per cell
Crystal system: trigonal